[1]
VASP calculation (PBE) on Gd2LuPt after structural relaxation.

Cell and atoms, written as extended XYZ:
```
12
Lattice="3.719 0.000 0.000 -1.859 3.221 0.000 0.000 0.000 31.299" Properties=species:S:1:pos:R:3 pbc="T T T"
Gd 0.000 0.000 3.389
Gd 0.000 0.000 27.910
Gd 0.000 2.147 17.477
Gd 0.000 2.147 24.254
Gd 1.859 1.074 7.044
Gd 1.859 1.074 13.821
Lu 0.000 0.000 0.000
Lu 0.000 2.147 20.866
Lu 1.859 1.074 10.433
Pt 0.000 0.000 15.649
Pt 0.000 2.147 5.216
Pt 1.859 1.074 26.082
```

Values from the calculation:
Energy relative to the lowest polymorph listed for this composition = 27.4 kJ per mole of atoms
Formation energy = -0.26 eV per atom
Magnetization = 14.62 μB per formula unit

[2]
VASP calculation (PBE) on BaNaO2 after structural relaxation.

Cell and atoms, written as extended XYZ:
```
16
Lattice="6.413 0.000 0.000 0.000 6.413 0.000 0.000 0.000 6.413" Properties=species:S:1:pos:R:3 pbc="T T T"
Ba 0.000 0.000 0.000
Ba 0.000 3.206 3.206
Ba 3.206 0.000 3.206
Ba 3.206 3.206 0.000
Na 0.000 0.000 3.206
Na 0.000 3.206 0.000
Na 3.206 0.000 0.000
Na 3.206 3.206 3.206
O 1.603 1.603 1.603
O 1.603 1.603 4.810
O 1.603 4.810 1.603
O 1.603 4.810 4.810
O 4.810 1.603 1.603
O 4.810 1.603 4.810
O 4.810 4.810 1.603
O 4.810 4.810 4.810
```

Values from the calculation:
Magnetization = 1.00 μB per formula unit
Formation energy (no corrections) = -1.5059 eV per atom

[3]
VASP calculation (PBE) on Pu2PaP after structural relaxation.

Cell and atoms, written as extended XYZ:
```
16
Lattice="6.929 0.000 0.000 0.000 6.929 0.000 0.000 0.000 6.929" Properties=species:S:1:pos:R:3 pbc="T T T"
Pu 1.732 1.732 1.732
Pu 1.732 1.732 5.196
Pu 1.732 5.196 1.732
Pu 1.732 5.196 5.196
Pu 5.196 1.732 1.732
Pu 5.196 1.732 5.196
Pu 5.196 5.196 1.732
Pu 5.196 5.196 5.196
Pa 0.000 0.000 0.000
Pa 0.000 3.464 3.464
Pa 3.464 0.000 3.464
Pa 3.464 3.464 0.000
P 0.000 0.000 3.464
P 0.000 3.464 0.000
P 3.464 0.000 0.000
P 3.464 3.464 3.464
```

Values from the calculation:
Energy relative to the lowest polymorph listed for this composition = 29.3 kJ per mole of atoms
Formation energy = -0.11 eV per atom
Magnetization = 11.72 μB per formula unit